# 1
## InMo6Se8 (PBE)

Data for InMo6Se8 after structural relaxation.

Lattice parameters (Å, degrees): 6.893 6.893 6.893 88.96 88.96 88.96
Fractional coordinates of all 15 atoms:
In1 0.000 0.000 0.000
Mo1 0.240 0.421 0.561
Mo2 0.561 0.240 0.421
Mo3 0.421 0.561 0.240
Mo4 0.760 0.579 0.439
Mo5 0.439 0.760 0.579
Mo6 0.579 0.439 0.760
Se1 0.244 0.244 0.244
Se2 0.756 0.756 0.756
Se3 0.120 0.744 0.385
Se4 0.385 0.120 0.744
Se5 0.744 0.385 0.120
Se6 0.880 0.256 0.615
Se7 0.615 0.880 0.256
Se8 0.256 0.615 0.880

## Properties
* energy relative to the elements, uncorrected: -0.4987 eV/atom
* theoretical density: 6.71 Mg/m³
* total energy: -6.87 eV/atom
* SG: R-3 (148)


# 2
## InMoSe2 (PBE)

Data for InMoSe2 after structural relaxation.

Lattice parameters (Å, degrees): 10.138 10.138 10.138 18.22 18.22 18.22
Fractional coordinates of all 4 atoms:
In1 0.492 0.492 0.492
Mo1 0.749 0.749 0.749
Se1 0.025 0.025 0.025
Se2 0.234 0.234 0.234

## Properties
* energy relative to the elements, uncorrected: -0.0860 eV/atom
* theoretical density: 6.89 Mg/m³
* total energy: -5.22 eV/atom
* SG: R3m (160)


# 3
## In3MoSe (PBE)

Data for In3MoSe after structural relaxation.

Lattice parameters (Å, degrees): 5.224 5.224 5.224 90.00 90.00 90.00
Fractional coordinates of all 5 atoms:
Mo1 0.500 0.500 0.500
Se1 0.000 0.000 0.000
In1 0.000 0.500 0.000
In2 0.000 0.000 0.500
In3 0.500 0.000 0.000

## Properties
* energy relative to the elements, uncorrected: 1.3469 eV/atom
* theoretical density: 6.05 Mg/m³
* total energy: -3.16 eV/atom
* SG: Pm-3m (221)


# 4
## InMo2Se (PBE)

Data for InMo2Se after structural relaxation.

Lattice parameters (Å, degrees): 5.428 5.428 5.428 147.13 122.82 67.55
Fractional coordinates of all 4 atoms:
In1 0.750 0.250 0.500
Mo1 0.030 0.030 0.000
Mo2 0.470 0.470 0.000
Se1 0.250 0.750 0.500

## Properties
* energy relative to the elements, uncorrected: 0.4459 eV/atom
* theoretical density: 8.89 Mg/m³
* total energy: -6.53 eV/atom
* SG: Immm (71)


# 5
## In2Mo2Se (PBE)

Data for In2Mo2Se after structural relaxation.

Lattice parameters (Å, degrees): 6.558 6.558 4.621 90.00 90.00 90.00
Fractional coordinates of all 10 atoms:
Mo1 0.366 0.866 0.000
Mo2 0.866 0.634 0.000
Mo3 0.634 0.134 0.000
Mo4 0.134 0.366 0.000
Se1 0.000 0.000 0.000
Se2 0.500 0.500 0.000
In1 0.167 0.667 0.500
In2 0.667 0.833 0.500
In3 0.833 0.333 0.500
In4 0.333 0.167 0.500

## Properties
* energy relative to the elements, uncorrected: 0.2855 eV/atom
* theoretical density: 8.36 Mg/m³
* total energy: -5.84 eV/atom
* SG: P4/mbm (127)


# 6
## InMoSe (PBE)

Data for InMoSe after structural relaxation.

Lattice parameters (Å, degrees): 4.358 4.358 3.620 90.00 90.00 120.00
Fractional coordinates of all 3 atoms:
In1 0.000 0.000 0.000
Mo1 0.333 0.667 0.500
Se1 0.667 0.333 0.500

## Properties
* energy relative to the elements, uncorrected: 0.3004 eV/atom
* theoretical density: 8.08 Mg/m³
* total energy: -5.38 eV/atom
* SG: P-6m2 (187)


# 7
## InMoSe2 (PBE)

Data for InMoSe2 after structural relaxation.

Lattice parameters (Å, degrees): 4.139 3.436 7.739 77.11 90.00 90.00
Fractional coordinates of all 4 atoms:
In1 0.000 0.587 0.453
Mo1 0.500 0.818 0.989
Se1 0.000 0.897 0.829
Se2 0.500 0.198 0.229

## Properties
* energy relative to the elements, uncorrected: 0.0035 eV/atom
* theoretical density: 5.71 Mg/m³
* total energy: -5.13 eV/atom
* SG: Pm (6)


# 8
## In2MoSe (PBE)

Data for In2MoSe after structural relaxation.

Lattice parameters (Å, degrees): 4.957 4.957 4.957 60.00 60.00 60.00
Fractional coordinates of all 4 atoms:
In1 0.000 0.000 0.000
In2 0.750 0.750 0.750
Mo1 0.500 0.500 0.500
Se1 0.250 0.250 0.250

## Properties
* energy relative to the elements, uncorrected: 0.5556 eV/atom
* theoretical density: 7.80 Mg/m³
* total energy: -4.39 eV/atom
* SG: F-43m (216)


# 9
## InMo2Se (PBE)

Data for InMo2Se after structural relaxation.

Lattice parameters (Å, degrees): 4.619 4.619 3.207 90.00 90.00 90.00
Fractional coordinates of all 4 atoms:
In1 0.000 0.500 0.500
Mo1 0.000 0.000 0.000
Mo2 0.500 0.500 0.000
Se1 0.500 0.000 0.500

## Properties
* energy relative to the elements, uncorrected: 0.4838 eV/atom
* theoretical density: 9.36 Mg/m³
* total energy: -6.49 eV/atom
* SG: P4/mmm (123)


# 10
## InMo2Se (PBE)

Data for InMo2Se after structural relaxation.

Lattice parameters (Å, degrees): 3.278 3.278 6.858 90.00 90.00 90.00
Fractional coordinates of all 4 atoms:
In1 0.500 0.500 0.778
Mo1 0.000 0.000 0.032
Mo2 0.500 0.500 0.256
Se1 0.000 0.000 0.434

## Properties
* energy relative to the elements, uncorrected: 0.0739 eV/atom
* theoretical density: 8.69 Mg/m³
* total energy: -6.90 eV/atom
* SG: P4mm (99)


# 11
## InMo2Se (PBE)

Data for InMo2Se after structural relaxation.

Lattice parameters (Å, degrees): 4.650 3.084 5.361 73.68 90.00 90.00
Fractional coordinates of all 4 atoms:
In1 0.500 0.697 0.738
Mo1 0.000 0.033 0.058
Mo2 0.500 0.427 0.257
Se1 0.000 0.343 0.447

## Properties
* energy relative to the elements, uncorrected: 0.2773 eV/atom
* theoretical density: 8.68 Mg/m³
* total energy: -6.69 eV/atom
* SG: Pm (6)


# 12
## In2MoSe (PBE)

Data for In2MoSe after structural relaxation.

Lattice parameters (Å, degrees): 3.410 4.956 4.922 90.00 90.00 90.00
Fractional coordinates of all 4 atoms:
In1 0.000 0.000 0.000
In2 0.500 0.500 0.000
Mo1 0.500 0.000 0.500
Se1 0.000 0.500 0.500

## Properties
* energy relative to the elements, uncorrected: 0.4782 eV/atom
* theoretical density: 8.08 Mg/m³
* total energy: -4.47 eV/atom
* SG: Pmmm (47)


# 13
## InMoSe2 (PBE)

Data for InMoSe2 after structural relaxation.

Lattice parameters (Å, degrees): 4.884 4.884 3.362 90.00 90.00 90.00
Fractional coordinates of all 4 atoms:
In1 0.500 0.000 0.500
Mo1 0.000 0.500 0.500
Se1 0.000 0.000 0.000
Se2 0.500 0.500 0.000

## Properties
* energy relative to the elements, uncorrected: 0.3535 eV/atom
* theoretical density: 7.63 Mg/m³
* total energy: -4.78 eV/atom
* SG: P4/mmm (123)


# 14
## InMoSe2 (PBE)

Data for InMoSe2 after structural relaxation.

Lattice parameters (Å, degrees): 7.440 7.440 7.440 150.08 150.08 42.82
Fractional coordinates of all 4 atoms:
In1 0.500 0.500 0.000
Mo1 0.750 0.250 0.500
Se1 0.000 0.000 0.000
Se2 0.250 0.750 0.500

## Properties
* energy relative to the elements, uncorrected: 0.3826 eV/atom
* theoretical density: 5.99 Mg/m³
* total energy: -4.75 eV/atom
* SG: I-4m2 (119)


# 15
## InMoSe2 (PBE)

Data for InMoSe2 after structural relaxation.

Lattice parameters (Å, degrees): 9.884 9.884 9.884 19.26 19.26 19.26
Fractional coordinates of all 4 atoms:
Mo1 0.500 0.500 0.500
Se1 0.892 0.892 0.892
Se2 0.108 0.108 0.108
In1 0.000 0.000 0.000

## Properties
* energy relative to the elements, uncorrected: -0.3108 eV/atom
* theoretical density: 6.67 Mg/m³
* total energy: -5.45 eV/atom
* SG: R-3m (166)


# 16
## In3MoSe (PBE)

Data for In3MoSe after structural relaxation.

Lattice parameters (Å, degrees): 5.373 5.373 5.373 90.00 90.00 90.00
Fractional coordinates of all 5 atoms:
Mo1 0.000 0.000 0.000
Se1 0.500 0.500 0.500
In1 0.000 0.500 0.000
In2 0.000 0.000 0.500
In3 0.500 0.000 0.000

## Properties
* energy relative to the elements, uncorrected: 0.6480 eV/atom
* theoretical density: 5.56 Mg/m³
* total energy: -3.86 eV/atom
* SG: Pm-3m (221)


# 17
## In2Mo15Se19 (PBE)

Data for In2Mo15Se19 after structural relaxation.

Lattice parameters (Å, degrees): 9.780 9.780 20.412 76.14 76.14 60.00
Fractional coordinates of all 72 atoms:
In1 0.390 0.390 0.829
In2 0.890 0.890 0.329
In3 0.610 0.610 0.171
In4 0.110 0.110 0.671
Mo1 0.629 0.500 0.558
Mo2 0.500 0.313 0.558
Mo3 0.313 0.629 0.558
Mo4 0.813 0.000 0.058
Mo5 0.000 0.129 0.058
Mo6 0.129 0.813 0.058
Mo7 0.371 0.500 0.442
Mo8 0.500 0.687 0.442
Mo9 0.687 0.371 0.442
Mo10 0.187 0.000 0.942
Mo11 0.000 0.871 0.942
Mo12 0.871 0.187 0.942
Mo13 0.452 0.277 0.133
Mo14 0.277 0.138 0.133
Mo15 0.138 0.452 0.133
Mo16 0.638 0.777 0.633
Mo17 0.777 0.952 0.633
Mo18 0.952 0.638 0.633
Mo19 0.548 0.723 0.867
Mo20 0.723 0.862 0.867
Mo21 0.862 0.548 0.867
Mo22 0.362 0.223 0.367
Mo23 0.223 0.048 0.367
Mo24 0.048 0.362 0.367
Mo25 0.250 0.409 0.250
Mo26 0.409 0.091 0.250
Mo27 0.091 0.250 0.250
Mo28 0.591 0.909 0.750
Mo29 0.909 0.750 0.750
Mo30 0.750 0.591 0.750
Se1 0.808 0.196 0.550
Se2 0.196 0.446 0.550
Se3 0.446 0.808 0.550
Se4 0.946 0.696 0.050
Se5 0.696 0.308 0.050
Se6 0.308 0.946 0.050
Se7 0.192 0.804 0.450
Se8 0.804 0.554 0.450
Se9 0.554 0.192 0.450
Se10 0.054 0.304 0.950
Se11 0.304 0.692 0.950
Se12 0.692 0.054 0.950
Se13 0.315 0.579 0.143
Se14 0.579 0.963 0.143
Se15 0.963 0.315 0.143
Se16 0.463 0.079 0.643
Se17 0.079 0.815 0.643
Se18 0.815 0.463 0.643
Se19 0.685 0.421 0.857
Se20 0.421 0.037 0.857
Se21 0.037 0.685 0.857
Se22 0.537 0.921 0.357
Se23 0.921 0.185 0.357
Se24 0.185 0.537 0.357
Se25 0.250 0.942 0.250
Se26 0.942 0.558 0.250
Se27 0.558 0.250 0.250
Se28 0.058 0.442 0.750
Se29 0.442 0.750 0.750
Se30 0.750 0.058 0.750
Se31 0.446 0.446 0.662
Se32 0.946 0.946 0.162
Se33 0.554 0.554 0.338
Se34 0.054 0.054 0.838
Se35 0.324 0.324 0.029
Se36 0.824 0.824 0.529
Se37 0.676 0.676 0.971
Se38 0.176 0.176 0.471

## Properties
* energy relative to the elements, uncorrected: -0.5041 eV/atom
* theoretical density: 6.48 Mg/m³
* total energy: -7.01 eV/atom
* SG: R-3c (167)


# 18
## In2Mo2Se (PBE)

Data for In2Mo2Se after structural relaxation.

Lattice parameters (Å, degrees): 3.868 3.868 7.407 74.86 74.86 90.00
Fractional coordinates of all 5 atoms:
Mo1 0.413 0.413 0.174
Mo2 0.587 0.587 0.826
Se1 0.000 0.000 0.000
In1 0.750 0.250 0.500
In2 0.250 0.750 0.500

## Properties
* energy relative to the elements, uncorrected: 0.7011 eV/atom
* theoretical density: 8.07 Mg/m³
* total energy: -5.42 eV/atom
* SG: I4/mmm (139)


# 19
## InMoSe2 (PBE)

Data for InMoSe2 after structural relaxation.

Lattice parameters (Å, degrees): 3.395 3.392 7.932 89.96 90.00 90.00
Fractional coordinates of all 4 atoms:
In1 0.500 0.250 0.250
Mo1 0.500 0.750 0.750
Se1 0.000 0.750 0.982
Se2 0.000 0.750 0.518

## Properties
* energy relative to the elements, uncorrected: 0.0739 eV/atom
* theoretical density: 6.70 Mg/m³
* total energy: -5.06 eV/atom
* SG: Pmmm (47)


# 20
## In2MoSe (PBE)

Data for In2MoSe after structural relaxation.

Lattice parameters (Å, degrees): 7.881 7.881 6.314 51.38 51.38 90.00
Fractional coordinates of all 8 atoms:
Mo1 0.000 0.000 0.000
Mo2 0.750 0.250 0.500
Se1 0.500 0.500 0.000
Se2 0.250 0.750 0.500
In1 0.626 0.125 0.250
In2 0.124 0.625 0.250
In3 0.375 0.374 0.750
In4 0.875 0.876 0.750

## Properties
* energy relative to the elements, uncorrected: 0.5363 eV/atom
* theoretical density: 7.29 Mg/m³
* total energy: -4.41 eV/atom
* SG: I-42d (122)


# 21
## InMoSe2 (PBE)

Data for InMoSe2 after structural relaxation.

Lattice parameters (Å, degrees): 3.855 6.848 3.810 90.00 90.00 90.00
Fractional coordinates of all 4 atoms:
In1 0.500 0.000 0.500
Mo1 0.000 0.500 0.500
Se1 0.000 0.000 0.000
Se2 0.500 0.500 0.000

## Properties
* energy relative to the elements, uncorrected: 0.3838 eV/atom
* theoretical density: 6.09 Mg/m³
* total energy: -4.75 eV/atom
* SG: Pmmm (47)


# 22
## InMo2Se (PBE)

Data for InMo2Se after structural relaxation.

Lattice parameters (Å, degrees): 4.880 4.880 5.400 73.18 73.18 38.36
Fractional coordinates of all 4 atoms:
In1 0.250 0.250 0.250
Mo1 0.013 0.013 0.924
Mo2 0.487 0.487 0.576
Se1 0.750 0.750 0.750

## Properties
* energy relative to the elements, uncorrected: 0.3698 eV/atom
* theoretical density: 8.43 Mg/m³
* total energy: -6.60 eV/atom
* SG: C2/m (12)


# 23
## InMo2Se (PBE)

Data for InMo2Se after structural relaxation.

Lattice parameters (Å, degrees): 2.914 2.914 9.918 90.00 90.00 111.37
Fractional coordinates of all 4 atoms:
In1 0.500 0.500 0.781
Mo1 0.000 0.000 0.034
Mo2 0.500 0.500 0.238
Se1 0.000 0.000 0.447

## Properties
* energy relative to the elements, uncorrected: 0.2927 eV/atom
* theoretical density: 8.16 Mg/m³
* total energy: -6.68 eV/atom
* SG: Cmm2 (35)


# 24
## InMoSe2 (PBE)

Data for InMoSe2 after structural relaxation.

Lattice parameters (Å, degrees): 6.746 6.746 6.746 153.02 137.04 51.47
Fractional coordinates of all 4 atoms:
In1 0.750 0.250 0.500
Mo1 0.250 0.750 0.500
Se1 0.083 0.083 0.000
Se2 0.417 0.417 0.000

## Properties
* energy relative to the elements, uncorrected: 0.0108 eV/atom
* theoretical density: 6.48 Mg/m³
* total energy: -5.12 eV/atom
* SG: Immm (71)


# 25
## InMoSe2 (PBE)

Data for InMoSe2 after structural relaxation.

Lattice parameters (Å, degrees): 3.297 3.297 9.516 80.98 80.98 59.96
Fractional coordinates of all 4 atoms:
In1 0.750 0.750 0.750
Mo1 0.250 0.250 0.250
Se1 0.973 0.973 0.065
Se2 0.527 0.527 0.435

## Properties
* energy relative to the elements, uncorrected: -0.3056 eV/atom
* theoretical density: 6.95 Mg/m³
* total energy: -5.44 eV/atom
* SG: C2/m (12)